Entry from Alexandria: an optimized crystal structure of Sm11Ga9Pd4 (GGA-PBE).

Cell lengths 3.7369, 12.7794, 12.7794 Å; angles 112.75, 90.00, 90.00 degrees
Last column: nearest neighbours and their distance in Å.
Element x y z (fractional)
1 Ga 0.5000 0.2157 0.0738  1 Pd 2.91, 1 Ga 3.02, 4 Sm 3.16
2 Pd 0.5000 0.7564 0.5538  6 Sm 2.87-2.95, 3 Ga 2.91-3.08
3 Sm 0.0000 0.3007 0.3007  4 Pd 2.92, 4 Ga 3.26
4 Sm 0.0000 0.6308 0.3692  4 Pd 2.95, 4 Ga 3.22
5 Sm 0.0000 0.5896 0.9374  2 Pd 2.87, 4 Ga 3.16-3.21
6 Ga 0.5000 0.9262 0.7843  1 Pd 2.91, 1 Ga 3.02, 4 Sm 3.16
7 Ga 0.5000 0.5000 0.5000  4 Pd 3.08, 8 Sm 3.35-3.38
8 Ga 0.5000 0.1641 0.6315  1 Ga 2.89, 1 Pd 2.92, 6 Sm 3.18-3.22
9 Ga 0.5000 0.3685 0.8359  1 Ga 2.89, 1 Pd 2.92, 6 Sm 3.18-3.22
10 Sm 0.0000 0.3692 0.6308  4 Pd 2.95, 4 Ga 3.22
11 Pd 0.5000 0.2436 0.4462  6 Sm 2.87-2.95, 3 Ga 2.91-3.08
12 Sm 0.0000 0.0626 0.4104  2 Pd 2.87, 4 Ga 3.16-3.21
13 Ga 0.5000 0.6315 0.1641  1 Ga 2.89, 1 Pd 2.92, 6 Sm 3.18-3.22
14 Pd 0.5000 0.5538 0.7564  6 Sm 2.87-2.95, 3 Ga 2.91-3.08
15 Sm 0.0000 0.4104 0.0626  2 Pd 2.87, 4 Ga 3.16-3.21
16 Ga 0.5000 0.8359 0.3685  1 Ga 2.89, 1 Pd 2.92, 6 Sm 3.18-3.22
17 Sm 0.0000 0.0000 0.0000  8 Ga 3.16
18 Sm 0.0000 0.8335 0.1665  8 Ga 3.18-3.44, 3 Sm 3.35-3.54
19 Ga 0.5000 0.0738 0.2157  1 Pd 2.91, 1 Ga 3.02, 4 Sm 3.16
20 Sm 0.0000 0.1665 0.8335  8 Ga 3.18-3.44, 3 Sm 3.35-3.54
21 Sm 0.0000 0.9374 0.5896  2 Pd 2.87, 4 Ga 3.16-3.21
22 Sm 0.0000 0.6993 0.6993  4 Pd 2.92, 4 Ga 3.26
23 Pd 0.5000 0.4462 0.2436  6 Sm 2.87-2.95, 3 Ga 2.91-3.08
24 Ga 0.5000 0.7843 0.9262  1 Pd 2.91, 1 Ga 3.02, 4 Sm 3.16

Properties
ΔH_f (0 K): -0.670 eV per atom
electronic total energy: -4.8338 eV/atom
space-group type: Cmmm (65)

Entry from Alexandria: an optimized crystal structure of KLiSi (GGA-PBE).

Cell lengths 6.5251, 6.5247, 3.5692 Å; angles 74.13, 74.12, 31.75 degrees
Last column: nearest neighbours and their distance in Å.
Element x y z (fractional)
1 K 0.0097 0.0097 0.9903  1 Li 3.23, 5 Si 3.51-3.58, 4 K 3.57
2 Si 0.7123 0.7123 0.2877  4 Li 2.64-2.65
3 Li 0.2780 0.2780 0.7220  4 Si 2.64-2.65

Properties
electronic total energy: -2.6229 eV/atom
formation energy (no corrections): 0.1886 eV/atom
space-group type: I4mm (107)

Entry from Alexandria: an optimized crystal structure of HoCoSi3Ru (GGA-PBE).

Cell lengths 5.3629, 7.2494, 6.5578 Å; angles 123.55, 90.00, 90.00 degrees
Last column: nearest neighbours and their distance in Å.
Element x y z (fractional)
1 Ho 0.7500 0.2385 0.4771  2 Si 2.68
2 Si 0.7500 0.7671 0.5341  1 Co 2.07, 1 Ru 2.19
3 Si 0.5000 0.2437 0.0000  2 Co 2.27, 2 Ru 2.40
4 Ru 0.7500 0.5663 0.1326  5 Si 2.19-2.40
5 Co 0.7500 0.9568 0.9137  5 Si 2.07-2.27
6 Si 0.5000 0.7563 0.0000  2 Co 2.27, 2 Ru 2.40
7 Si 0.0000 0.7563 0.0000  2 Co 2.27, 2 Ru 2.40
8 Co 0.2500 0.0432 0.0863  5 Si 2.07-2.27
9 Ru 0.2500 0.4337 0.8674  5 Si 2.19-2.40
10 Ho 0.2500 0.7615 0.5229  2 Si 2.68
11 Si 0.2500 0.2329 0.4659  1 Co 2.07, 1 Ru 2.19
12 Si 0.0000 0.2437 0.0000  2 Co 2.27, 2 Ru 2.40

Properties
electronic total energy: -6.5920 eV/atom
formation energy (no corrections): -0.3873 eV/atom
space-group type: Cmcm (63)

Entry from Alexandria: an optimized crystal structure of Tb2ErTm (GGA-PBE).

Cell lengths 3.5227, 3.5227, 9.9538 Å; angles 90.00, 90.00, 90.00 degrees
Last column: nearest neighbours and their distance in Å.
Element x y z (fractional)
1 Tb 0.0000 0.0000 0.7507  4 Tm 3.52, 4 Tb 3.52, 4 Er 3.53
2 Tm 0.5000 0.5000 0.0000  8 Tb 3.52, 4 Tm 3.52
3 Er 0.5000 0.5000 0.5000  4 Er 3.52, 8 Tb 3.53
4 Tb 0.0000 0.0000 0.2493  4 Tm 3.52, 4 Tb 3.52, 4 Er 3.53

Properties
ΔH_f (0 K): 0.021 eV per atom
electronic total energy: -4.5525 eV/atom
space-group type: P4/mmm (123)

Entry from Alexandria: an optimized crystal structure of InF3 (GGA-PBE).

Cell lengths 3.2361, 4.7095, 6.8953 Å; angles 90.00, 90.00, 110.09 degrees
Last column: nearest neighbours and their distance in Å.
Element x y z (fractional)
1 F 0.3468 0.6936 0.4295  3 In 2.24-2.35, 1 F 2.48
2 F 0.6532 0.3064 0.5705  3 In 2.24-2.35, 1 F 2.48
3 In 0.7428 0.4855 0.2500  8 F 2.15-2.35
4 F 0.0828 0.1655 0.2500  2 In 2.15
5 In 0.2572 0.5145 0.7500  8 F 2.15-2.35
6 F 0.6532 0.3064 0.9295  3 In 2.24-2.35, 1 F 2.48
7 F 0.3468 0.6936 0.0705  3 In 2.24-2.35, 1 F 2.48
8 F 0.9172 0.8345 0.7500  2 In 2.15

Properties
electronic total energy: -4.4740 eV/atom
formation energy (no corrections): -2.3859 eV/atom
space-group type: Cmcm (63)

Entry from Alexandria: an optimized crystal structure of Ac2USb3Rh4 (GGA-PBE).

Cell lengths 4.5947, 4.5947, 11.0955 Å; angles 90.00, 90.00, 90.00 degrees
Last column: nearest neighbours and their distance in Å.
Element x y z (fractional)
1 Ac 0.0000 0.5000 0.7693  8 Rh 3.44-3.57, 6 Sb 3.46-3.77, 2 U 3.77
2 Rh 0.5000 0.5000 0.0000  4 Sb 2.68
3 Sb 0.0000 0.5000 0.1248  5 Rh 2.66-2.68
4 Sb 0.0000 0.0000 0.5000  4 Rh 2.75
5 Rh 0.5000 0.0000 0.6356  3 Sb 2.66-2.75, 2 U 2.75
6 U 0.5000 0.5000 0.5000  4 Rh 2.75
7 Rh 0.0000 0.0000 0.0000  4 Sb 2.68
8 Sb 0.5000 0.0000 0.8752  5 Rh 2.66-2.68
9 Ac 0.5000 0.0000 0.2307  8 Rh 3.44-3.57, 6 Sb 3.46-3.77, 2 U 3.77
10 Rh 0.0000 0.5000 0.3644  3 Sb 2.66-2.75, 2 U 2.75

Properties
electronic total energy: -6.8926 eV/atom
formation energy (no corrections): -0.7648 eV/atom
space-group type: P-4m2 (115)

Entry from Alexandria: an optimized crystal structure of TcBi2Mo (GGA-PBE).

Cell lengths 4.4435, 4.4435, 9.9947 Å; angles 77.16, 77.16, 90.00 degrees
Last column: nearest neighbours and their distance in Å.
Element x y z (fractional)
1 Bi 0.8750 0.8780 0.7500  2 Tc 2.84, 2 Mo 2.85, 4 Bi 3.12-3.16
2 Bi 0.1220 0.6250 0.2500  2 Tc 2.84, 2 Mo 2.85, 4 Bi 3.12-3.16
3 Mo 0.5000 0.5000 0.0000  4 Bi 2.85, 4 Tc 3.14
4 Bi 0.6280 0.1250 0.2500  2 Tc 2.84, 2 Mo 2.85, 4 Bi 3.12-3.16
5 Bi 0.3750 0.3720 0.7500  2 Tc 2.84, 2 Mo 2.85, 4 Bi 3.12-3.16
6 Tc 0.7500 0.2500 0.5000  4 Bi 2.84, 4 Mo 3.14
7 Mo 0.2500 0.7500 0.5000  4 Bi 2.85, 4 Tc 3.14
8 Tc 0.0000 0.0000 0.0000  4 Bi 2.84, 4 Mo 3.14

Properties
ΔH_f (0 K): 1.095 eV per atom
electronic total energy: -6.1446 eV/atom
space-group type: I-42d (122)

Entry from Alexandria: an optimized crystal structure of Ho4Tm10Pu (GGA-PBE).

Cell lengths 10.2791, 8.5162, 8.5162 Å; angles 68.64, 52.88, 52.88 degrees
Last column: nearest neighbours and their distance in Å.
Element x y z (fractional)
1 Tm 0.7732 0.6749 0.1004  5 Tm 3.10-3.31
2 Tm 0.2268 0.3251 0.8996  5 Tm 3.10-3.31
3 Tm 0.5485 0.3251 0.8996  5 Tm 3.10-3.31
4 Tm 0.7500 0.5000 0.5000  4 Tm 3.10, 4 Ho 3.12
5 Ho 0.9311 0.3982 0.7396  2 Tm 3.12, 1 Pu 3.23
6 Ho 0.6707 0.2604 0.3982  2 Tm 3.12, 1 Pu 3.23
7 Tm 0.4515 0.6749 0.1004  5 Tm 3.10-3.31
8 Ho 0.3293 0.7396 0.6018  2 Tm 3.12, 1 Pu 3.23
9 Tm 0.4481 0.1004 0.3251  5 Tm 3.10-3.31
10 Tm 0.1264 0.1004 0.3251  5 Tm 3.10-3.31
11 Tm 0.5519 0.8996 0.6749  5 Tm 3.10-3.31
12 Tm 0.8736 0.8996 0.6749  5 Tm 3.10-3.31
13 Tm 0.2500 0.5000 0.5000  4 Tm 3.10, 4 Ho 3.12
14 Ho 0.0689 0.6018 0.2604  2 Tm 3.12, 1 Pu 3.23
15 Pu 0.0000 0.0000 0.0000  4 Ho 3.23

Properties
ΔH_f (0 K): 0.403 eV per atom
electronic total energy: -4.7537 eV/atom
space-group type: I4/m (87)

Entry from Alexandria: an optimized crystal structure of CoCuRh2 (GGA-PBE).

Cell lengths 4.2363, 4.2363, 4.2363 Å; angles 60.00, 60.00, 60.00 degrees
Last column: nearest neighbours and their distance in Å.
Element x y z (fractional)
1 Co 0.5000 0.5000 0.5000  4 Rh 2.59, 4 Cu 2.59
2 Rh 0.2500 0.2500 0.2500  4 Co 2.59, 4 Rh 2.59
3 Cu 0.7500 0.7500 0.7500  4 Co 2.59, 4 Rh 2.59
4 Rh 0.0000 0.0000 0.0000  4 Rh 2.59, 4 Cu 2.59

Properties
ΔH_f (0 K): 0.255 eV per atom
electronic total energy: -6.2209 eV/atom
space-group type: F-43m (216)

Entry from Alexandria: an optimized crystal structure of Mn2FeCo3 (GGA-PBE).

Cell lengths 4.0418, 6.3892, 5.6985 Å; angles 90.00, 90.00, 71.56 degrees
Last column: nearest neighbours and their distance in Å.
Element x y z (fractional)
1 Fe 0.6661 0.6678 0.0000  8 Co 2.46
2 Co 0.8324 0.3352 0.7540  3 Fe 2.46, 5 Mn 2.47-2.49
3 Co 0.5000 0.0000 0.7523  2 Fe 2.46, 6 Mn 2.47-2.48
4 Co 0.1676 0.6648 0.7540  3 Fe 2.46, 5 Mn 2.47-2.49
5 Mn 0.0000 0.0000 0.5000  8 Co 2.48-2.49
6 Co 0.1676 0.6648 0.2460  3 Fe 2.46, 5 Mn 2.47-2.49
7 Mn 0.0000 0.0000 0.0000  8 Co 2.47
8 Co 0.8324 0.3352 0.2460  3 Fe 2.46, 5 Mn 2.47-2.49
9 Mn 0.3331 0.3339 0.5000  8 Co 2.47-2.49
10 Mn 0.6669 0.6661 0.5000  8 Co 2.47-2.49
11 Fe 0.3339 0.3322 0.0000  8 Co 2.46
12 Co 0.5000 0.0000 0.2477  2 Fe 2.46, 6 Mn 2.47-2.48

Properties
ΔH_f (0 K): -0.023 eV per atom
electronic total energy: -8.0424 eV/atom
space-group type: Cmmm (65)

Entry from Alexandria: an optimized crystal structure of Al2SiHg (GGA-PBE).

Cell lengths 3.6094, 2.9437, 7.2773 Å; angles 89.86, 90.00, 90.00 degrees
Last column: nearest neighbours and their distance in Å.
Element x y z (fractional)
1 Si 0.5000 0.5005 0.8095  5 Al 2.64-2.86, 2 Hg 2.86, 2 Si 2.94
2 Al 0.0000 0.9994 0.9819  4 Si 2.64-2.65, 6 Al 2.83-2.94
3 Al 0.5000 0.4981 0.2031  6 Al 2.83-2.94, 2 Hg 2.85, 1 Si 2.86
4 Hg 0.0000 0.5021 0.5055  2 Al 2.85, 2 Si 2.86, 2 Hg 2.94

Properties
electronic total energy: -3.0826 eV/atom
formation energy (no corrections): 0.2199 eV/atom
space-group type: Pm (6)

Entry from Alexandria: an optimized crystal structure of Pm2HoP3Rh4 (GGA-PBE).

Cell lengths 4.0184, 4.0184, 11.2109 Å; angles 90.00, 90.00, 90.00 degrees
Last column: nearest neighbours and their distance in Å.
Element x y z (fractional)
1 P 0.0000 0.0000 0.5000  4 Rh 2.75, 4 Ho 2.84
2 Rh 0.5000 0.0000 0.6681  1 P 2.33
3 Rh 0.0000 0.5000 0.3319  1 P 2.33
4 Rh 0.5000 0.5000 0.0000  4 P 2.45
5 Pm 0.5000 0.0000 0.2235  4 P 3.05, 8 Rh 3.09-3.21
6 Pm 0.0000 0.5000 0.7765  4 P 3.05, 8 Rh 3.09-3.21
7 Ho 0.5000 0.5000 0.5000  4 Rh 2.75, 4 P 2.84
8 P 0.5000 0.0000 0.8757  5 Rh 2.33-2.45
9 Rh 0.0000 0.0000 0.0000  4 P 2.45
10 P 0.0000 0.5000 0.1243  5 Rh 2.33-2.45

Properties
ΔH_f (0 K): -1.078 eV per atom
electronic total energy: -7.0491 eV/atom
space-group type: P-4m2 (115)

Entry from Alexandria: an optimized crystal structure of AsPtRh2 (GGA-PBE).

Cell lengths 2.7750, 2.7750, 9.2961 Å; angles 90.00, 90.00, 119.94 degrees
Last column: nearest neighbours and their distance in Å.
Element x y z (fractional)
1 Rh 0.0000 0.0000 0.0065  8 Rh 2.67-2.78, 2 Pt 2.73
2 Pt 0.5000 0.5000 0.7535  2 Rh 2.73, 6 Pt 2.78, 2 As 2.83
3 As 0.0000 0.0000 0.4877  2 Rh 2.59, 6 As 2.78, 2 Pt 2.83
4 Rh 0.5000 0.5000 0.2522  2 As 2.59, 8 Rh 2.67-2.78

Properties
ΔH_f (0 K): 0.168 eV per atom
electronic total energy: -6.1799 eV/atom
space-group type: Cmm2 (35)

Entry from Alexandria: an optimized crystal structure of KSrTa (GGA-PBE).

Cell lengths 6.8228, 6.8228, 12.6029 Å; angles 90.00, 90.00, 120.00 degrees
Last column: nearest neighbours and their distance in Å.
Element x y z (fractional)
1 Sr 0.0000 0.0000 0.7500  2 Ta 3.15
2 Ta 0.0000 0.0000 0.5000  2 Sr 3.15
3 K 0.6667 0.3333 0.7500  3 Sr 3.94
4 Ta 0.0000 0.0000 0.0000  2 Sr 3.15
5 K 0.3333 0.6667 0.2500  3 Sr 3.94
6 Sr 0.0000 0.0000 0.2500  2 Ta 3.15

Properties
ΔH_f (0 K): 2.483 eV per atom
electronic total energy: -2.3939 eV/atom
space-group type: P6_3/mmc (194)

Entry from Alexandria: an optimized crystal structure of CuHg2I5 (GGA-PBE).

Cell lengths 4.4689, 7.7100, 21.5537 Å; angles 90.00, 90.00, 106.85 degrees
Last column: nearest neighbours and their distance in Å.
Element x y z (fractional)
1 I 0.7740 0.5480 0.2500  2 Cu 2.79, 2 Hg 3.03
2 I 0.3306 0.6611 0.0678  2 Hg 2.88
3 Hg 0.8987 0.7974 0.1382  4 I 2.78-3.03
4 Cu 0.8396 0.6791 0.7500  4 I 2.54-2.79
5 I 0.9132 0.8264 0.6436  1 Cu 2.54, 1 Hg 2.78
6 I 0.6694 0.3389 0.5678  2 Hg 2.88
7 I 0.3306 0.6611 0.4322  2 Hg 2.88
8 I 0.6694 0.3389 0.9322  2 Hg 2.88
9 Cu 0.1604 0.3209 0.2500  4 I 2.54-2.79
10 I 0.0868 0.1736 0.1436  1 Cu 2.54, 1 Hg 2.78
11 Hg 0.8987 0.7974 0.3618  4 I 2.78-3.03
12 I 0.0868 0.1736 0.3564  1 Cu 2.54, 1 Hg 2.78
13 I 0.9132 0.8264 0.8564  1 Cu 2.54, 1 Hg 2.78
14 I 0.2260 0.4520 0.7500  2 Cu 2.79, 2 Hg 3.03
15 Hg 0.1013 0.2026 0.6382  4 I 2.78-3.03
16 Hg 0.1013 0.2026 0.8618  4 I 2.78-3.03

Properties
electronic total energy: -1.7827 eV/atom
formation energy (no corrections): -0.2264 eV/atom
space-group type: Cmcm (63)

Entry from Alexandria: an optimized crystal structure of NaScSeBr2 (GGA-PBE).

Cell lengths 5.4081, 5.4081, 5.1573 Å; angles 90.00, 90.00, 90.00 degrees
Last column: nearest neighbours and their distance in Å.
Element x y z (fractional)
1 Se 0.0000 0.0000 0.5000  2 Sc 2.58
2 Na 0.5000 0.5000 0.5000  8 Br 3.74, 4 Se 3.82
3 Br 0.5000 0.0000 0.0000  2 Sc 2.70
4 Sc 0.0000 0.0000 0.0000  2 Se 2.58, 4 Br 2.70
5 Br 0.0000 0.5000 0.0000  2 Sc 2.70

Properties
electronic total energy: -4.2809 eV/atom
formation energy (no corrections): -1.3848 eV/atom
space-group type: P4/mmm (123)

Theoretical density values, unit g/cm3, following the record order: 7.99 1.61 6.40 8.79 5.78 10.41 10.85 9.08 10.14 8.15 6.07 8.80 12.74 2.01 5.14 3.38.